1.
First-principles (PBE) data for a geometry-optimized CaInGa2Br8 structure, as listed in the Alexandria database.

Unit cell a=7.0178 b=7.0178 c=9.9735 alpha=90.00 beta=90.00 gamma=120.00
With the nearest neighbours (Å) after each atom.
Fractional positions:
1 Br 0.6782 0.6715 0.6828  1 Ga 2.50
2 Br 0.3285 0.0067 0.6828  1 Ga 2.50
3 Br 0.3218 0.3285 0.3172  1 Ga 2.50
4 Br 0.6667 0.3333 0.0065  1 Ga 2.40
5 Br 0.0067 0.6782 0.3172  1 Ga 2.50
6 Br 0.3333 0.6667 0.9935  1 Ga 2.40
7 Br 0.6715 0.9933 0.3172  1 Ga 2.50
8 Br 0.9933 0.3218 0.6828  1 Ga 2.50
9 Ca 0.0000 0.0000 0.5000  6 Br 2.92
10 In 0.0000 0.0000 0.0000  12 Br 3.90-4.05
11 Ga 0.6667 0.3333 0.2470  4 Br 2.40-2.50
12 Ga 0.3333 0.6667 0.7530  4 Br 2.40-2.50

Calculated values
total magnetization = 0.808 Bohr magnetons per cell
space group = P-3
DOS(E_F) = 0.59 states/eV per atom
energy = -2.97 eV per atom
density = 3.6 g/cm³
energy relative to the elements, uncorrected = -0.957 eV/atom

***

2.
First-principles (PBE) data for a geometry-optimized CaGaIr2Br structure, as listed in the Alexandria database.

Unit cell a=4.7235 b=5.2196 c=4.7235 alpha=90.00 beta=90.00 gamma=90.00
With the nearest neighbours (Å) after each atom.
Fractional positions:
1 Br 0.0000 0.0000 0.0000  4 Ir 2.36, 2 Ga 2.61
2 Ir 0.5000 0.0000 0.0000  2 Br 2.36
3 Ir 0.0000 0.0000 0.5000  2 Br 2.36
4 Ca 0.5000 0.5000 0.5000  4 Ga 3.34, 8 Ir 3.52
5 Ga 0.0000 0.5000 0.0000  2 Br 2.61

Calculated values
total magnetization = 0.000 Bohr magnetons per cell
space group = P4/mmm
DOS(E_F) = 0.80 states/eV per atom
energy = -4.02 eV per atom
density = 8.2 g/cm³
energy relative to the elements, uncorrected = 0.862 eV/atom

***

3.
First-principles (PBE) data for a geometry-optimized CaGaBrO2 structure, as listed in the Alexandria database.

Unit cell a=4.0488 b=6.5460 c=7.5642 alpha=99.49 beta=90.00 gamma=90.00
With the nearest neighbours (Å) after each atom.
Fractional positions:
1 Ga 0.7500 0.0571 0.1439  2 O 1.83-1.88
2 Ga 0.2500 0.9429 0.8561  2 O 1.83-1.88
3 O 0.2500 0.0370 0.6406  1 Ga 1.83
4 O 0.7500 0.0133 0.8917  3 Ga 1.88-2.08
5 O 0.7500 0.9630 0.3594  1 Ga 1.83
6 O 0.2500 0.9867 0.1083  3 Ga 1.88-2.08
7 Ca 0.2500 0.8098 0.3730  4 O 2.27-2.47
8 Ca 0.7500 0.1902 0.6270  4 O 2.27-2.47
9 Br 0.2500 0.5567 0.7421  1 Ga 2.53
10 Br 0.7500 0.4433 0.2579  1 Ga 2.53

Calculated values
total magnetization = 0.000 Bohr magnetons per cell
space group = P2_1/m
DOS(E_F) = 0.00 states/eV per atom
energy = -5.41 eV per atom
density = 3.7 g/cm³
energy relative to the elements, uncorrected = -2.088 eV/atom

***

4.
First-principles (PBE) data for a geometry-optimized RbCaGa2Br8 structure, as listed in the Alexandria database.

Unit cell a=7.0401 b=7.0401 c=10.8867 alpha=71.14 beta=71.14 gamma=60.00
With the nearest neighbours (Å) after each atom.
Fractional positions:
1 Ca 0.0000 0.0000 0.0000  6 Br 2.94
2 Br 0.1730 0.1730 0.4811  1 Ga 2.41
3 Br 0.7137 0.0693 0.8284  1 Ga 2.50
4 Br 0.0693 0.3886 0.8284  1 Ga 2.50
5 Br 0.9307 0.6114 0.1716  1 Ga 2.50
6 Br 0.2863 0.9307 0.1716  1 Ga 2.50
7 Br 0.6114 0.2863 0.1716  1 Ga 2.50
8 Br 0.3886 0.7137 0.8284  1 Ga 2.50
9 Br 0.8270 0.8270 0.5189  1 Ga 2.41
10 Rb 0.5000 0.5000 0.5000  12 Br 4.02-4.07
11 Ga 0.2525 0.2525 0.2426  4 Br 2.41-2.50
12 Ga 0.7475 0.7475 0.7574  4 Br 2.41-2.50

Calculated values
total magnetization = 0.861 Bohr magnetons per cell
space group = R-3
DOS(E_F) = 0.59 states/eV per atom
energy = -3.04 eV per atom
density = 3.5 g/cm³
energy relative to the elements, uncorrected = -1.170 eV/atom

***

5.
First-principles (PBE) data for a geometry-optimized RbCa2GaBr structure, as listed in the Alexandria database.

Unit cell a=5.7501 b=6.8355 c=5.7501 alpha=90.00 beta=90.00 gamma=90.00
With the nearest neighbours (Å) after each atom.
Fractional positions:
1 Ga 0.0000 0.0000 0.0000  4 Ca 2.88
2 Ca 0.5000 0.0000 0.0000  2 Ga 2.88
3 Ca 0.0000 0.0000 0.5000  2 Ga 2.88
4 Br 0.5000 0.5000 0.5000  4 Rb 4.07, 8 Ca 4.47
5 Rb 0.0000 0.5000 0.0000  2 Ga 3.42

Calculated values
total magnetization = 0.000 Bohr magnetons per cell
space group = P4/mmm
DOS(E_F) = 0.87 states/eV per atom
energy = -2.30 eV per atom
density = 2.3 g/cm³
energy relative to the elements, uncorrected = -0.364 eV/atom

***

6.
First-principles (PBE) data for a geometry-optimized Rb2CaGaBr5 structure, as listed in the Alexandria database.

Unit cell a=4.5306 b=10.1053 c=15.5561 alpha=90.00 beta=90.00 gamma=102.95
With the nearest neighbours (Å) after each atom.
Fractional positions:
1 Br 0.4987 0.9974 0.7717  1 Ga 2.93
2 Br 0.2591 0.5182 0.6555  2 Ca 3.01
3 Br 0.3673 0.7345 0.9867  1 Ca 2.88
4 Br 0.6983 0.3965 0.9090  2 Ca 2.99, 1 Ga 3.05
5 Br 0.0834 0.1668 0.0714  1 Ca 2.87, 2 Ga 3.04
6 Br 0.5013 0.0026 0.2717  1 Ga 2.93
7 Br 0.7409 0.4818 0.1555  2 Ca 3.01
8 Br 0.3017 0.6035 0.4090  2 Ca 2.99, 1 Ga 3.05
9 Br 0.9166 0.8332 0.5714  1 Ca 2.87, 2 Ga 3.04
10 Br 0.6327 0.2655 0.4867  1 Ca 2.88
11 Rb 0.0837 0.1674 0.6503  6 Br 3.39-3.54
12 Rb 0.8648 0.7297 0.7999  8 Br 3.50-3.81
13 Rb 0.9163 0.8326 0.1503  6 Br 3.39-3.54
14 Rb 0.1352 0.2703 0.2999  8 Br 3.50-3.81
15 Ca 0.2250 0.4501 0.0294  6 Br 2.87-3.01
16 Ca 0.7750 0.5499 0.5294  6 Br 2.87-3.01
17 Ga 0.4532 0.9064 0.4500  4 Br 2.93-3.05
18 Ga 0.5468 0.0936 0.9500  4 Br 2.93-3.05

Calculated values
total magnetization = 0.000 Bohr magnetons per cell
space group = Cmc2_1
DOS(E_F) = 0.00 states/eV per atom
energy = -3.27 eV per atom
density = 3.3 g/cm³
energy relative to the elements, uncorrected = -1.564 eV/atom

***

7.
First-principles (PBE) data for a geometry-optimized Ca2GaReBr structure, as listed in the Alexandria database.

Unit cell a=5.4588 b=4.5895 c=5.4588 alpha=90.00 beta=90.00 gamma=90.00
With the nearest neighbours (Å) after each atom.
Fractional positions:
1 Ca 0.0000 0.0000 0.5000  2 Br 2.73
2 Ca 0.5000 0.0000 0.0000  2 Br 2.73
3 Re 0.0000 0.5000 0.0000  2 Br 2.29
4 Ga 0.5000 0.5000 0.5000  8 Ca 3.57, 4 Re 3.86
5 Br 0.0000 0.0000 0.0000  2 Re 2.29

Calculated values
total magnetization = 0.000 Bohr magnetons per cell
space group = P4/mmm
DOS(E_F) = 0.68 states/eV per atom
energy = -3.68 eV per atom
density = 5.1 g/cm³
energy relative to the elements, uncorrected = 0.554 eV/atom

***

8.
First-principles (PBE) data for a geometry-optimized Ca2GaReBr structure, as listed in the Alexandria database.

Unit cell a=5.7078 b=5.3587 c=5.7078 alpha=90.00 beta=90.00 gamma=90.00
With the nearest neighbours (Å) after each atom.
Fractional positions:
1 Ca 0.0000 0.0000 0.5000  2 Ga 2.85
2 Ca 0.5000 0.0000 0.0000  2 Ga 2.85
3 Br 0.0000 0.5000 0.0000  2 Ga 2.68
4 Re 0.5000 0.5000 0.5000  8 Ca 3.91, 4 Br 4.04
5 Ga 0.0000 0.0000 0.0000  2 Br 2.68, 4 Ca 2.85

Calculated values
total magnetization = 4.027 Bohr magnetons per cell
space group = P4/mmm
DOS(E_F) = 1.18 states/eV per atom
energy = -3.20 eV per atom
density = 4.0 g/cm³
energy relative to the elements, uncorrected = 1.034 eV/atom